# Zr2UN | Alexandria | PBE | relaxed
# E	-117.9	eV for the cell shown
# formation energy from raw total energies	-648	meV per atom
# spin magnetization	0.617	μB/atom
data_Zr2UN
_chemical_formula_sum 'Zr6 U3 N3'
_space_group_name_H-M_alt 'R -3 m'
_space_group_IT_number 166
_space_group_name_Hall '-R 3 2"'
_cell_length_a 3.1992
_cell_length_b 3.1992
_cell_length_c 24.9972
_cell_angle_alpha 90.00
_cell_angle_beta 90.00
_cell_angle_gamma 120.00
loop_
_atom_site_label
_atom_site_fract_x
_atom_site_fract_y
_atom_site_fract_z
Zr1 0.0000 0.0000 0.2198
U1 0.0000 0.0000 0.0000
N1 0.0000 0.0000 0.5000